[1]
Below is an optimized crystal structure of RbHfZr2Sc, with properties calculated at the PBEsol level.

Cell lengths 4.9525, 4.9525, 5.0329 Å; angles 90.00, 90.00, 90.00 degrees
Last column: nearest neighbours and their distance in Å.
Fractional coordinates of all 5 atoms:
Rb: 0.0000 0.0000 0.0000  4 Zr 2.48, 2 Hf 2.52
Hf: 0.0000 0.0000 0.5000  2 Rb 2.52
Zr: 0.0000 0.5000 0.0000  2 Rb 2.48
Zr: 0.5000 0.0000 0.0000  2 Rb 2.48
Sc: 0.5000 0.5000 0.5000  4 Hf 3.50, 8 Zr 3.53

## Properties
D(E_F): 1.595 states/eV/atom
symmetry: P4/mmm, No. 123
theoretical density: 6.610 g/cm³
formation enthalpy at 0 K: 41.26 kcal/mol of atoms

[2]
Below is an optimized crystal structure of RbHfSe3, with properties calculated at the PBEsol level.

Cell lengths 5.1918, 5.1918, 5.1918 Å; angles 90.00, 90.00, 90.00 degrees
Last column: nearest neighbours and their distance in Å.
Fractional coordinates of all 5 atoms:
Rb: 0.0000 0.0000 0.0000  12 Se 3.67
Hf: 0.5000 0.5000 0.5000  6 Se 2.60
Se: 0.0000 0.5000 0.5000  2 Hf 2.60
Se: 0.5000 0.0000 0.5000  2 Hf 2.60
Se: 0.5000 0.5000 0.0000  2 Hf 2.60

## Properties
D(E_F): 0.464 states/eV/atom
symmetry: Pm-3m, No. 221
raw formation energy: -1.090 eV per atom
theoretical density: 5.943 g/cm³

[3]
Below is an optimized crystal structure of RbHfSi2, with properties calculated at the PBEsol level.

Cell lengths 9.5333, 9.5333, 9.5333 Å; angles 146.01, 146.01, 48.83 degrees
Last column: nearest neighbours and their distance in Å.
Fractional coordinates of all 8 atoms:
Rb: 0.3750 0.6250 0.7500  8 Si 3.80, 4 Hf 3.94
Rb: 0.6250 0.3750 0.2500  8 Si 3.80, 4 Hf 3.94
Hf: 0.1250 0.8750 0.2500  4 Si 2.58
Hf: 0.8750 0.1250 0.7500  4 Si 2.58
Si: 0.0000 0.0000 0.0000  2 Hf 2.58, 2 Si 2.79
Si: 0.0000 0.0000 0.5000  2 Hf 2.58, 2 Si 2.79
Si: 0.0000 0.5000 0.0000  2 Hf 2.58, 2 Si 2.79
Si: 0.5000 0.0000 0.5000  2 Hf 2.58, 2 Si 2.79

## Properties
D(E_F): 0.829 states/eV/atom
symmetry: I4_1/amd, No. 141
raw formation energy: 0.515 eV per atom
theoretical density: 3.944 g/cm³

[4]
Below is an optimized crystal structure of RbHfTi2Si, with properties calculated at the PBEsol level.

Cell lengths 4.8643, 4.8643, 5.0976 Å; angles 90.00, 90.00, 90.00 degrees
Last column: nearest neighbours and their distance in Å.
Fractional coordinates of all 5 atoms:
Rb: 0.0000 0.0000 0.0000  4 Hf 3.44, 8 Ti 3.52
Hf: 0.5000 0.5000 0.0000  2 Si 2.55
Ti: 0.0000 0.5000 0.5000  2 Si 2.43
Ti: 0.5000 0.0000 0.5000  2 Si 2.43
Si: 0.5000 0.5000 0.5000  4 Ti 2.43, 2 Hf 2.55

## Properties
D(E_F): 1.708 states/eV/atom
symmetry: P4/mmm, No. 123
raw formation energy: 0.849 eV per atom
theoretical density: 5.339 g/cm³

[5]
Below is an optimized crystal structure of RbSrHf2Tc, with properties calculated at the PBEsol level.

Cell lengths 5.4162, 5.4162, 4.8965 Å; angles 90.00, 90.00, 90.00 degrees
Last column: nearest neighbours and their distance in Å.
Fractional coordinates of all 5 atoms:
Rb: 0.0000 0.0000 0.0000  8 Hf 3.65, 4 Tc 3.83
Sr: 0.5000 0.5000 0.5000  2 Tc 2.45, 4 Hf 2.71
Hf: 0.0000 0.5000 0.5000  2 Sr 2.71
Hf: 0.5000 0.0000 0.5000  2 Sr 2.71
Tc: 0.5000 0.5000 0.0000  2 Sr 2.45

## Properties
D(E_F): 1.673 states/eV/atom
symmetry: P4/mmm, No. 123
theoretical density: 7.261 g/cm³
formation enthalpy at 0 K: 54.83 kcal/mol of atoms

[6]
Below is an optimized crystal structure of RbSrHf2Te, with properties calculated at the PBEsol level.

Cell lengths 5.1005, 5.1005, 6.0999 Å; angles 90.00, 90.00, 90.00 degrees
Last column: nearest neighbours and their distance in Å.
Fractional coordinates of all 5 atoms:
Rb: 0.0000 0.0000 0.0000  4 Hf 2.55
Sr: 0.5000 0.5000 0.5000  4 Te 3.61, 8 Hf 3.98
Hf: 0.0000 0.5000 0.0000  2 Rb 2.55
Hf: 0.5000 0.0000 0.0000  2 Rb 2.55
Te: 0.0000 0.0000 0.5000  2 Rb 3.05

## Properties
D(E_F): 0.724 states/eV/atom
symmetry: P4/mmm, No. 123
raw formation energy: 1.457 eV per atom
theoretical density: 6.882 g/cm³

[7]
Below is an optimized crystal structure of Rb3HfTi, with properties calculated at the PBEsol level.

Cell lengths 6.5134, 6.5134, 6.5134 Å; angles 90.00, 90.00, 90.00 degrees
Last column: nearest neighbours and their distance in Å.
Fractional coordinates of all 5 atoms:
Rb: 0.0000 0.0000 0.5000  2 Ti 3.26
Rb: 0.0000 0.5000 0.0000  2 Ti 3.26
Rb: 0.5000 0.0000 0.0000  2 Ti 3.26
Hf: 0.5000 0.5000 0.5000  12 Rb 4.61
Ti: 0.0000 0.0000 0.0000  6 Rb 3.26

## Properties
D(E_F): 2.505 states/eV/atom
symmetry: Pm-3m, No. 221
theoretical density: 2.901 g/cm³
formation enthalpy at 0 K: 45.53 kcal/mol of atoms

[8]
Below is an optimized crystal structure of Hf5Re24, with properties calculated at the PBEsol level.

Cell lengths 8.3745, 8.3745, 8.3745 Å; angles 109.47, 109.47, 109.47 degrees
Last column: nearest neighbours and their distance in Å.
Fractional coordinates of all 29 atoms:
Hf: 0.0000 0.0000 0.0000  12 Re 3.02, 4 Hf 3.11
Hf: 0.0000 0.0000 0.3710  12 Re 2.75-3.07
Hf: 0.0000 0.3710 0.0000  12 Re 2.75-3.07
Hf: 0.3710 0.0000 0.0000  12 Re 2.75-3.07
Hf: 0.6290 0.6290 0.6290  12 Re 2.75-3.07
Re: 0.0000 0.3223 0.6030  5 Re 2.53-2.81, 1 Hf 2.75
Re: 0.0000 0.6030 0.3223  5 Re 2.53-2.81, 1 Hf 2.75
Re: 0.0000 0.6238 0.8065  6 Re 2.50-2.74
Re: 0.0000 0.8065 0.6238  6 Re 2.50-2.74
Re: 0.1827 0.3762 0.3762  6 Re 2.50-2.74
Re: 0.1935 0.1935 0.8173  6 Re 2.50-2.74
Re: 0.1935 0.8173 0.1935  6 Re 2.50-2.74
Re: 0.2807 0.6777 0.6777  5 Re 2.53-2.81, 1 Hf 2.75
Re: 0.3223 0.0000 0.6030  5 Re 2.53-2.81, 1 Hf 2.75
Re: 0.3223 0.6030 0.0000  5 Re 2.53-2.81, 1 Hf 2.75
Re: 0.3762 0.1827 0.3762  6 Re 2.50-2.74
Re: 0.3762 0.3762 0.1827  6 Re 2.50-2.74
Re: 0.3970 0.3970 0.7193  5 Re 2.53-2.81, 1 Hf 2.75
Re: 0.3970 0.7193 0.3970  5 Re 2.53-2.81, 1 Hf 2.75
Re: 0.6030 0.0000 0.3223  5 Re 2.53-2.81, 1 Hf 2.75
Re: 0.6030 0.3223 0.0000  5 Re 2.53-2.81, 1 Hf 2.75
Re: 0.6238 0.0000 0.8065  6 Re 2.50-2.74
Re: 0.6238 0.8065 0.0000  6 Re 2.50-2.74
Re: 0.6777 0.2807 0.6777  5 Re 2.53-2.81, 1 Hf 2.75
Re: 0.6777 0.6777 0.2807  5 Re 2.53-2.81, 1 Hf 2.75
Re: 0.7193 0.3970 0.3970  5 Re 2.53-2.81, 1 Hf 2.75
Re: 0.8065 0.0000 0.6238  6 Re 2.50-2.74
Re: 0.8065 0.6238 0.0000  6 Re 2.50-2.74
Re: 0.8173 0.1935 0.1935  6 Re 2.50-2.74

## Properties
D(E_F): 0.752 states/eV/atom
symmetry: I-43m, No. 217
theoretical density: 19.691 g/cm³
formation enthalpy at 0 K: -5.82 kcal/mol of atoms

[9]
Below is an optimized crystal structure of Hf2ReRh, with properties calculated at the PBEsol level.

Cell lengths 4.5605, 4.5605, 4.5605 Å; angles 60.00, 60.00, 60.00 degrees
Last column: nearest neighbours and their distance in Å.
Fractional coordinates of all 4 atoms:
Hf: 0.2500 0.2500 0.2500  4 Re 2.79, 4 Rh 2.79
Hf: 0.7500 0.7500 0.7500  4 Rh 2.79, 4 Re 2.79
Re: 0.0000 0.0000 0.0000  8 Hf 2.79
Rh: 0.5000 0.5000 0.5000  8 Hf 2.79

## Properties
D(E_F): 0.243 states/eV/atom
symmetry: Fm-3m, No. 225
theoretical density: 15.996 g/cm³
formation enthalpy at 0 K: -15.91 kcal/mol of atoms

[10]
Below is an optimized crystal structure of HfRe2Rh2, with properties calculated at the PBEsol level.

Cell lengths 6.9352, 6.9352, 6.9352 Å; angles 150.24, 150.24, 42.58 degrees
Last column: nearest neighbours and their distance in Å.
Fractional coordinates of all 5 atoms:
Hf: 0.0000 0.0000 0.0000  8 Rh 2.81
Re: 0.2500 0.7500 0.5000  4 Re 2.52, 4 Rh 2.66
Re: 0.7500 0.2500 0.5000  4 Re 2.52, 4 Rh 2.66
Rh: 0.4032 0.4032 0.0000  1 Rh 2.50, 4 Re 2.66
Rh: 0.5968 0.5968 0.0000  1 Rh 2.50, 4 Re 2.66

## Properties
D(E_F): 1.317 states/eV/atom
symmetry: I4/mmm, No. 139
theoretical density: 15.331 g/cm³
formation enthalpy at 0 K: 0.91 kcal/mol of atoms

[11]
Below is an optimized crystal structure of Hf2ReRu, with properties calculated at the PBEsol level.

Cell lengths 4.5502, 4.5502, 4.5502 Å; angles 60.00, 60.00, 60.00 degrees
Last column: nearest neighbours and their distance in Å.
Fractional coordinates of all 4 atoms:
Hf: 0.2500 0.2500 0.2500  4 Re 2.79, 4 Ru 2.79
Hf: 0.7500 0.7500 0.7500  4 Ru 2.79, 4 Re 2.79
Re: 0.0000 0.0000 0.0000  8 Hf 2.79
Ru: 0.5000 0.5000 0.5000  8 Hf 2.79

## Properties
D(E_F): 0.834 states/eV/atom
symmetry: Fm-3m, No. 225
theoretical density: 16.059 g/cm³
formation enthalpy at 0 K: -12.63 kcal/mol of atoms

[12]
Below is an optimized crystal structure of HfRe3S, with properties calculated at the PBEsol level.

Cell lengths 4.3352, 4.3352, 4.3352 Å; angles 90.00, 90.00, 90.00 degrees
Last column: nearest neighbours and their distance in Å.
Fractional coordinates of all 5 atoms:
Hf: 0.0000 0.0000 0.0000  12 Re 3.07
Re: 0.0000 0.5000 0.5000  2 S 2.17
Re: 0.5000 0.0000 0.5000  2 S 2.17
Re: 0.5000 0.5000 0.0000  2 S 2.17
S: 0.5000 0.5000 0.5000  6 Re 2.17

## Properties
D(E_F): 0.619 states/eV/atom
symmetry: Pm-3m, No. 221
raw formation energy: 0.444 eV per atom
theoretical density: 15.676 g/cm³

[13]
Below is an optimized crystal structure of HfSc2Re, with properties calculated at the PBEsol level.

Cell lengths 4.7273, 4.7273, 4.7273 Å; angles 60.00, 60.00, 60.00 degrees
Last column: nearest neighbours and their distance in Å.
Fractional coordinates of all 4 atoms:
Hf: 0.0000 0.0000 0.0000  8 Sc 2.89
Sc: 0.2500 0.2500 0.2500  4 Hf 2.89, 4 Re 2.89
Sc: 0.7500 0.7500 0.7500  4 Hf 2.89, 4 Re 2.89
Re: 0.5000 0.5000 0.5000  8 Sc 2.89

## Properties
D(E_F): 1.717 states/eV/atom
symmetry: Fm-3m, No. 225
theoretical density: 10.105 g/cm³
formation enthalpy at 0 K: 4.66 kcal/mol of atoms

[14]
Below is an optimized crystal structure of SrHf2ScRe, with properties calculated at the PBEsol level.

Cell lengths 4.8689, 4.8689, 4.9823 Å; angles 90.00, 90.00, 90.00 degrees
Last column: nearest neighbours and their distance in Å.
Fractional coordinates of all 5 atoms:
Sr: 0.0000 0.0000 0.0000  2 Sc 2.49
Hf: 0.0000 0.5000 0.5000  2 Sc 2.43
Hf: 0.5000 0.0000 0.5000  2 Sc 2.43
Sc: 0.0000 0.0000 0.5000  4 Hf 2.43, 2 Sr 2.49
Re: 0.5000 0.5000 0.0000  4 Sr 3.44, 8 Hf 3.48

## Properties
D(E_F): 1.084 states/eV/atom
symmetry: P4/mmm, No. 123
theoretical density: 9.501 g/cm³
formation enthalpy at 0 K: 45.54 kcal/mol of atoms

[15]
Below is an optimized crystal structure of Hf9Re4Se, with properties calculated at the PBEsol level.

Cell lengths 8.5377, 8.5377, 8.4967 Å; angles 90.00, 90.00, 120.00 degrees
Last column: nearest neighbours and their distance in Å.
Fractional coordinates of all 28 atoms:
Hf: 0.0882 0.5441 0.2500  2 Re 2.86, 1 Se 3.12, 2 Hf 3.14
Hf: 0.1922 0.3844 0.5501  1 Se 2.69, 4 Re 2.82-3.00, 2 Hf 2.97
Hf: 0.1922 0.3844 0.9499  1 Se 2.69, 4 Re 2.82-3.00, 2 Hf 2.97
Hf: 0.1922 0.8078 0.5501  1 Se 2.69, 4 Re 2.82-3.00, 2 Hf 2.97
Hf: 0.1922 0.8078 0.9499  1 Se 2.69, 4 Re 2.82-3.00, 2 Hf 2.97
Hf: 0.3844 0.1922 0.0501  1 Se 2.69, 4 Re 2.82-3.00, 2 Hf 2.97
Hf: 0.3844 0.1922 0.4499  1 Se 2.69, 4 Re 2.82-3.00, 2 Hf 2.97
Hf: 0.4559 0.5441 0.2500  2 Re 2.86, 1 Se 3.12, 2 Hf 3.14
Hf: 0.4559 0.9118 0.2500  2 Re 2.86, 1 Se 3.12, 2 Hf 3.14
Hf: 0.5441 0.0882 0.7500  2 Re 2.86, 1 Se 3.12, 2 Hf 3.14
Hf: 0.5441 0.4559 0.7500  2 Re 2.86, 1 Se 3.12, 2 Hf 3.14
Hf: 0.6156 0.8078 0.5501  1 Se 2.69, 4 Re 2.82-3.00, 2 Hf 2.97
Hf: 0.6156 0.8078 0.9499  1 Se 2.69, 4 Re 2.82-3.00, 2 Hf 2.97
Hf: 0.8078 0.1922 0.0501  1 Se 2.69, 4 Re 2.82-3.00, 2 Hf 2.97
Hf: 0.8078 0.1922 0.4499  1 Se 2.69, 4 Re 2.82-3.00, 2 Hf 2.97
Hf: 0.8078 0.6156 0.0501  1 Se 2.69, 4 Re 2.82-3.00, 2 Hf 2.97
Hf: 0.8078 0.6156 0.4499  1 Se 2.69, 4 Re 2.82-3.00, 2 Hf 2.97
Hf: 0.9118 0.4559 0.7500  2 Re 2.86, 1 Se 3.12, 2 Hf 3.14
Re: 0.0000 0.0000 0.0000  6 Re 2.68, 6 Hf 2.87
Re: 0.0000 0.0000 0.5000  6 Re 2.68, 6 Hf 2.87
Re: 0.1101 0.2202 0.2500  4 Re 2.68-2.82, 4 Hf 2.82-2.86
Re: 0.1101 0.8899 0.2500  4 Re 2.68-2.82, 4 Hf 2.82-2.86
Re: 0.2202 0.1101 0.7500  4 Re 2.68-2.82, 4 Hf 2.82-2.86
Re: 0.7798 0.8899 0.2500  4 Re 2.68-2.82, 4 Hf 2.82-2.86
Re: 0.8899 0.1101 0.7500  4 Re 2.68-2.82, 4 Hf 2.82-2.86
Re: 0.8899 0.7798 0.7500  4 Re 2.68-2.82, 4 Hf 2.82-2.86
Se: 0.3333 0.6667 0.7500  6 Hf 2.69
Se: 0.6667 0.3333 0.2500  6 Hf 2.69

## Properties
D(E_F): 0.917 states/eV/atom
symmetry: P6_3/mmc, No. 194
raw formation energy: -0.403 eV per atom
theoretical density: 15.047 g/cm³

[16]
Below is an optimized crystal structure of Hf2ReSi2, with properties calculated at the PBEsol level.

Cell lengths 6.4552, 6.4552, 3.8274 Å; angles 90.00, 90.00, 90.00 degrees
Last column: nearest neighbours and their distance in Å.
Fractional coordinates of all 10 atoms:
Hf: 0.1722 0.3278 0.0000  6 Si 2.62-2.75
Hf: 0.3278 0.8278 0.0000  6 Si 2.62-2.75
Hf: 0.6722 0.1722 0.0000  6 Si 2.62-2.75
Hf: 0.8278 0.6722 0.0000  6 Si 2.62-2.75
Re: 0.0000 0.0000 0.5000  4 Si 2.53
Re: 0.5000 0.5000 0.5000  4 Si 2.53
Si: 0.1311 0.6311 0.5000  1 Si 2.39, 2 Re 2.53, 2 Hf 2.62
Si: 0.3689 0.1311 0.5000  1 Si 2.39, 2 Re 2.53, 2 Hf 2.62
Si: 0.6311 0.8689 0.5000  1 Si 2.39, 2 Re 2.53, 2 Hf 2.62
Si: 0.8689 0.3689 0.5000  1 Si 2.39, 2 Re 2.53, 2 Hf 2.62

## Properties
D(E_F): 0.487 states/eV/atom
symmetry: P4/mbm, No. 127
raw formation energy: -0.809 eV per atom
theoretical density: 12.481 g/cm³

[17]
Below is an optimized crystal structure of Hf3ReSi, with properties calculated at the PBEsol level.

Cell lengths 4.9254, 4.9254, 4.9254 Å; angles 90.00, 90.00, 90.00 degrees
Last column: nearest neighbours and their distance in Å.
Fractional coordinates of all 5 atoms:
Hf: 0.0000 0.0000 0.5000  2 Re 2.46
Hf: 0.0000 0.5000 0.0000  2 Re 2.46
Hf: 0.5000 0.0000 0.0000  2 Re 2.46
Re: 0.0000 0.0000 0.0000  6 Hf 2.46
Si: 0.5000 0.5000 0.5000  12 Hf 3.48

## Properties
D(E_F): 1.574 states/eV/atom
symmetry: Pm-3m, No. 221
raw formation energy: 0.811 eV per atom
theoretical density: 10.420 g/cm³

[18]
Below is an optimized crystal structure of HfReSi3, with properties calculated at the PBEsol level.

Cell lengths 4.8377, 4.8377, 4.8377 Å; angles 90.00, 90.00, 90.00 degrees
Last column: nearest neighbours and their distance in Å.
Fractional coordinates of all 5 atoms:
Hf: 0.0000 0.0000 0.0000  6 Si 2.42
Re: 0.5000 0.5000 0.5000  12 Si 3.42
Si: 0.0000 0.0000 0.5000  2 Hf 2.42
Si: 0.0000 0.5000 0.0000  2 Hf 2.42
Si: 0.5000 0.0000 0.0000  2 Hf 2.42

## Properties
D(E_F): 1.002 states/eV/atom
symmetry: Pm-3m, No. 221
raw formation energy: 1.882 eV per atom
theoretical density: 6.585 g/cm³

[19]
Below is an optimized crystal structure of HfZrReSi2, with properties calculated at the PBEsol level.

Cell lengths 4.7445, 4.7445, 4.7595 Å; angles 90.00, 90.00, 90.00 degrees
Last column: nearest neighbours and their distance in Å.
Fractional coordinates of all 5 atoms:
Hf: 0.0000 0.0000 0.0000  4 Re 3.35, 8 Si 3.36
Zr: 0.5000 0.5000 0.5000  4 Si 2.37, 2 Re 2.38
Re: 0.5000 0.5000 0.0000  2 Zr 2.38
Si: 0.0000 0.5000 0.5000  2 Zr 2.37
Si: 0.5000 0.0000 0.5000  2 Zr 2.37

## Properties
D(E_F): 0.984 states/eV/atom
symmetry: P4/mmm, No. 123
raw formation energy: 1.349 eV per atom
theoretical density: 7.937 g/cm³

[20]
Below is an optimized crystal structure of SrHfRe2, with properties calculated at the PBEsol level.

Cell lengths 4.7414, 4.7414, 4.7414 Å; angles 60.00, 60.00, 60.00 degrees
Last column: nearest neighbours and their distance in Å.
Fractional coordinates of all 4 atoms:
Sr: 0.0000 0.0000 0.0000  8 Re 2.90
Hf: 0.5000 0.5000 0.5000  8 Re 2.90
Re: 0.2500 0.2500 0.2500  4 Hf 2.90, 4 Sr 2.90
Re: 0.7500 0.7500 0.7500  4 Hf 2.90, 4 Sr 2.90

## Properties
D(E_F): 1.287 states/eV/atom
symmetry: Fm-3m, No. 225
theoretical density: 14.067 g/cm³
formation enthalpy at 0 K: 21.33 kcal/mol of atoms